[1]
Material: Sb2PtSe
Method: DFT, PBE-GGA
State: optimized geometry

Results
spin magnetization: 0.000 μB/atom
formation energy from raw total energies: 234 meV per atom
E_tot: -16.8 eV for the cell shown
SG: I-4m2, No. 119

a b c (Å): 6.3886 6.3886 6.3886
angles (deg): 143.34 143.34 52.82
Positions (direct):
Sb: 0.0000 0.0000 0.0000
Sb: 0.7500 0.2500 0.5000
Pt: 0.5000 0.5000 0.0000
Se: 0.2500 0.7500 0.5000

[2]
Material: YAg2Pd2
Method: DFT, PBE-GGA
State: optimized geometry

Results
energy above the lowest structure with this stoichiometry: 0.116 eV per atom
spin magnetization: 0.000 μB/atom
E_tot: -48.5 eV for the cell shown
SG: P4/mbm, No. 127
formation energy from the elements: -0.337 eV/atom

a b c (Å): 7.2025 7.2025 3.7587
angles (deg): 90.00 90.00 90.00
Positions (direct):
Y: 0.0000 0.0000 0.0000
Y: 0.5000 0.5000 0.0000
Ag: 0.1577 0.3423 0.5000
Ag: 0.3423 0.8423 0.5000
Ag: 0.6577 0.1577 0.5000
Ag: 0.8423 0.6577 0.5000
Pd: 0.1368 0.6368 0.0000
Pd: 0.3632 0.1368 0.0000
Pd: 0.6368 0.8632 0.0000
Pd: 0.8632 0.3632 0.0000

[3]
Material: NbZnIn3
Method: DFT, PBE-GGA
State: optimized geometry

Results
energy above the lowest structure with this stoichiometry: 0.000 eV per atom
spin magnetization: 0.254 μB/atom
E_tot: -15.9 eV for the cell shown
SG: Pm-3m, No. 221
formation energy from the elements: 0.731 eV/atom

a b c (Å): 5.4897 5.4897 5.4897
angles (deg): 90.00 90.00 90.00
Positions (direct):
Nb: 0.0000 0.0000 0.0000
Zn: 0.5000 0.5000 0.5000
In: 0.0000 0.0000 0.5000
In: 0.0000 0.5000 0.0000
In: 0.5000 0.0000 0.0000